(1)
This record from Alexandria via LeMat-Bulk describes GaCS2 at its PBEsol-relaxed geometry. The functional is meta-GGA SCAN.

Results
Uncorrected formation energy ... 0.99 eV/atom

Cell lengths 4.655, 4.655, 11.742 Å; angles 90.00, 90.00, 90.00 degrees
Space group I-42d (No. 122)
One atom of each set of equivalent atoms:
Ga 0.000 0.000 0.000 [4 per cell]
C 0.000 0.000 0.500 [4 per cell]
S 0.183 0.250 0.625 [8 per cell]

(2)
This record from Alexandria via LeMat-Bulk describes GaC3S at its PBEsol-relaxed geometry. The functional is meta-GGA SCAN.

Results
Uncorrected formation energy ... 2.59 eV/atom

Cell lengths 3.615, 3.615, 3.615 Å; angles 90.00, 90.00, 90.00 degrees
Space group Pm-3m (No. 221)
One atom of each set of equivalent atoms:
Ga 0.000 0.000 0.000 [1 per cell]
C 0.000 0.500 0.500 [3 per cell]
S 0.500 0.500 0.500 [1 per cell]

(3)
This record from Alexandria via LeMat-Bulk describes Sc3GaC at its PBEsol-relaxed geometry. The functional is meta-GGA SCAN.

Results
ΔE_f ... -0.781 eV per atom

Cell lengths 4.436, 4.436, 4.436 Å; angles 90.00, 90.00, 90.00 degrees
Space group Pm-3m (No. 221)
One atom of each set of equivalent atoms:
Sc 0.000 0.000 0.500 [3 per cell]
Ga 0.500 0.500 0.500 [1 per cell]
C 0.000 0.000 0.000 [1 per cell]

(4)
This record from Alexandria via LeMat-Bulk describes GaCSe3 at its PBEsol-relaxed geometry. The functional is meta-GGA SCAN.

Results
Uncorrected formation energy ... 1.75 eV/atom

Cell lengths 4.852, 4.852, 4.852 Å; angles 90.00, 90.00, 90.00 degrees
Space group Pm-3m (No. 221)
One atom of each set of equivalent atoms:
Ga 0.000 0.000 0.000 [1 per cell]
C 0.500 0.500 0.500 [1 per cell]
Se 0.000 0.000 0.500 [3 per cell]

(5)
This record from Alexandria via LeMat-Bulk describes YGa2TcC at its PBEsol-relaxed geometry. The functional is meta-GGA SCAN.

Results
ΔE_f ... 1.129 eV per atom

Cell lengths 4.688, 4.688, 5.101 Å; angles 90.00, 90.00, 90.00 degrees
Space group P4/mmm (No. 123)
One atom of each set of equivalent atoms:
Y 0.000 0.000 0.000 [1 per cell]
Ga 0.000 0.500 0.500 [2 per cell]
Tc 0.000 0.000 0.500 [1 per cell]
C 0.500 0.500 0.000 [1 per cell]

(6)
This record from Alexandria via LeMat-Bulk describes Ti4GaC3 at its PBEsol-relaxed geometry. The functional is meta-GGA SCAN.

Results
ΔE_f ... -0.927 eV per atom

Cell lengths 3.0605, 3.0605, 23.0085 Å; angles 90.00, 90.00, 120.00 degrees
Space group P6_3/mmc (No. 194)
One atom of each set of equivalent atoms:
Ti 0.0000 0.0000 0.1554 [4 per cell]
Ti 0.3333 0.6667 0.0518 [4 per cell]
Ga 0.3333 0.6667 0.2500 [2 per cell]
C 0.0000 0.0000 0.0000 [2 per cell]
C 0.3333 0.6667 0.6095 [4 per cell]